Here is an optimized crystal structure of KBe from the Alexandria database. Energies are from PBE.

The structure in POSCAR format:
```
KBe
1.0
3.0938 0.0000 0.0000
0.0003 3.4206 0.0000
1.3904 1.7053 10.0937
K Be
2 2
Direct
0.0000 0.0000 0.0000
0.2692 0.2946 0.4078
0.1209 0.6322 0.7042
0.6221 0.1306 0.7042
```

## Properties
- ρ: 1.496 g/cm3
- E above lowest polymorph: 0.155 eV per atom
- Energy of formation from the pure elements: 0.7395 eV/atom